A plane-wave DFT calculation with GGA-PBEsol was carried out for a geometry-optimized ZrTl2C structure.

POSCAR file:
```
ZrTl2C
1.0
0.000 3.423 3.423
3.423 0.000 3.423
3.423 3.423 0.000
Zr Tl C
1 2 1
Cartesian
0.000 0.000 0.000
1.711 1.711 1.711
5.134 5.134 5.134
3.423 3.423 3.423
```

Computed properties:
- Space-group type: Fm-3m, No. 225
- ΔE_f: 1450 meV/atom
- Spin magnetization: 0.000 μB per atom

=====

A plane-wave DFT calculation with GGA-PBEsol was carried out for a geometry-optimized LaY2AgSe structure.

POSCAR file:
```
LaY2AgSe
1.0
5.258 0.000 0.000
0.000 5.258 0.000
0.000 0.000 5.584
La Y Ag Se
1 2 1 1
Cartesian
0.000 0.000 0.000
0.000 2.629 2.792
2.629 0.000 2.792
2.629 2.629 0.000
0.000 0.000 2.792
```

Computed properties:
- Space-group type: P4/mmm, No. 123
- Raw formation energy: -385 meV per atom
- Spin magnetization: 0.000 μB per atom

=====

A plane-wave DFT calculation with GGA-PBEsol was carried out for a geometry-optimized NaAgCl3 structure.

POSCAR file:
```
NaAgCl3
1.0
4.963 0.000 0.000
0.000 4.963 0.000
0.000 0.000 4.963
Na Ag Cl
1 1 3
Cartesian
0.000 0.000 0.000
2.482 2.482 2.482
0.000 2.482 2.482
2.482 0.000 2.482
2.482 2.482 0.000
```

Computed properties:
- Space-group type: Pm-3m, No. 221
- Raw formation energy: -858 meV per atom
- Spin magnetization: 0.000 μB per atom

=====

A plane-wave DFT calculation with GGA-PBEsol was carried out for a geometry-optimized K3NaUC3O11 structure.

POSCAR file:
```
K3NaUC3O11
1.0
9.224 0.000 0.000
-4.612 7.988 0.000
0.000 0.000 8.245
K Na U C O
6 2 2 6 22
Cartesian
-1.389 2.406 0.000
-1.389 2.406 4.123
2.778 0.000 0.000
2.778 0.000 4.123
3.223 5.582 0.000
3.223 5.582 4.123
0.000 5.325 2.061
4.612 2.663 6.184
0.000 5.325 6.184
4.612 2.663 2.061
-2.869 5.155 6.184
1.582 2.926 6.184
1.743 2.833 2.061
1.287 7.895 6.184
5.899 0.093 2.061
6.194 5.062 2.061
-2.079 4.103 6.184
-2.330 6.106 2.061
-2.213 6.293 6.184
0.269 2.925 6.184
0.489 2.917 2.061
0.000 5.325 4.347
0.000 5.325 8.021
2.282 1.882 6.184
2.399 1.695 2.061
-0.019 7.737 6.184
2.098 4.136 6.184
4.592 0.251 2.061
2.533 3.885 2.061
1.945 6.758 6.184
1.841 6.953 2.061
4.612 2.663 0.224
4.612 2.663 3.899
6.453 1.035 6.184
6.557 1.230 2.061
4.880 5.063 2.061
5.101 5.071 6.184
6.710 3.852 2.061
```

Computed properties:
- Space-group type: P-62c, No. 190
- Raw formation energy: -2049 meV per atom
- Spin magnetization: 0.000 μB per atom

=====

A plane-wave DFT calculation with GGA-PBEsol was carried out for a geometry-optimized PtAu2 structure.

POSCAR file:
```
PtAu2
1.0
4.665 0.000 0.000
0.000 4.665 0.000
0.000 0.000 2.714
Pt Au
1 2
Cartesian
0.000 0.000 0.000
0.000 2.333 1.357
2.333 0.000 1.357
```

Computed properties:
- Space-group type: P4/mmm, No. 123
- ΔE_f: 167 meV/atom
- Spin magnetization: 0.000 μB per atom
- Distance to the lowest polymorph of the same formula: 130.9 meV per atom

=====

A plane-wave DFT calculation with GGA-PBEsol was carried out for a geometry-optimized SrIn2Hg structure.

POSCAR file:
```
SrIn2Hg
1.0
3.793 0.000 0.000
0.000 3.793 0.000
0.000 0.000 7.468
Sr In Hg
1 2 1
Cartesian
0.000 0.000 0.000
0.000 0.000 3.609
1.896 1.896 5.246
1.896 1.896 1.971
```

Computed properties:
- Space-group type: P4mm, No. 99
- ΔE_f: -340 meV/atom
- Spin magnetization: 0.000 μB per atom

=====

A plane-wave DFT calculation with GGA-PBEsol was carried out for a geometry-optimized NaSnW3 structure.

POSCAR file:
```
NaSnW3
1.0
4.930 0.000 0.000
0.000 4.930 0.000
0.000 0.000 4.930
Na Sn W
1 1 3
Cartesian
0.000 0.000 0.000
2.465 2.465 2.465
0.000 2.465 2.465
2.465 0.000 2.465
2.465 2.465 0.000
```

Computed properties:
- Space-group type: Pm-3m, No. 221
- ΔE_f: 2838 meV/atom
- Spin magnetization: 0.001 μB per atom

=====

A plane-wave DFT calculation with GGA-PBEsol was carried out for a geometry-optimized Dy3Pd2 structure.

POSCAR file:
```
Dy3Pd2
1.0
7.665 0.000 0.000
0.000 7.665 0.000
0.000 0.000 3.862
Dy Pd
6 4
Cartesian
0.000 0.000 0.000
1.271 2.561 1.931
2.561 6.394 1.931
3.833 3.833 0.000
5.104 1.271 1.931
6.394 5.104 1.931
1.003 4.836 0.000
2.829 1.003 0.000
4.836 6.662 0.000
6.662 2.829 0.000
```

Computed properties:
- Space-group type: P4/mbm, No. 127
- ΔE_f: -716 meV/atom
- Spin magnetization: 0.000 μB per atom